## Tb5Nd4Y4 (PBE)

Data for an optimized crystal structure of Tb5Nd4Y4.

Lattice parameters (Å, degrees): 9.5394 9.5394 9.5394 94.06 94.06 149.12
Fractional positions:
Tb 0.0000 0.0000 0.0000
Tb 0.3103 0.4611 0.7714
Tb 0.4611 0.6897 0.1508
Tb 0.5389 0.3103 0.8492
Tb 0.6897 0.5389 0.2286
Nd 0.0778 0.6168 0.6946
Nd 0.3832 0.0778 0.4609
Nd 0.6168 0.9222 0.5391
Nd 0.9222 0.3832 0.3054
Y 0.1530 0.2295 0.3825
Y 0.2295 0.8470 0.0765
Y 0.7705 0.1530 0.9235
Y 0.8470 0.7705 0.6175

The calculation puts the formation energy from the elements at 21 kJ/mol of formula units. The space group is I4/m, No. 87. As for the density of states at the Fermi level: 18.45 states/eV per cell. Its uncorrected energy is -5.220 eV/atom.

## Tb5NdY2 (PBE)

Data for an optimized crystal structure of Tb5NdY2.

Lattice parameters (Å, degrees): 7.1654 14.3319 5.0497 90.00 90.00 90.00
Fractional positions:
Tb 0.0000 0.0000 0.0000
Tb 0.0002 0.2491 0.0000
Tb 0.9998 0.7509 0.0000
Tb 0.2494 0.1258 0.5000
Tb 0.2506 0.6258 0.5000
Tb 0.5002 0.2509 0.0000
Tb 0.5000 0.5000 0.0000
Tb 0.4998 0.7491 0.0000
Tb 0.7494 0.3742 0.5000
Tb 0.7506 0.8742 0.5000
Nd 0.0000 0.5000 0.0000
Nd 0.5000 0.0000 0.0000
Y 0.2494 0.8744 0.5000
Y 0.2506 0.3744 0.5000
Y 0.7494 0.6256 0.5000
Y 0.7506 0.1256 0.5000

The energy above the most stable polymorph in this dataset is 0.0000 eV per atom. The calculation puts the formation energy from the elements at 13 kJ/mol of formula units. The space group is Pbam, No. 55. As for the density of states at the Fermi level: 20.80 states/eV per cell. Its uncorrected energy is -5.089 eV/atom.

## Tb3Nd3Y5 (PBE)

Data for an optimized crystal structure of Tb3Nd3Y5.

Lattice parameters (Å, degrees): 6.2213 8.0481 8.0506 107.42 97.38 104.97
Fractional positions:
Tb 0.0000 0.0000 0.0000
Tb 0.0904 0.3625 0.8186
Tb 0.7287 0.9091 0.5470
Nd 0.5467 0.1806 0.9080
Nd 0.8200 0.2729 0.3650
Nd 0.9098 0.6372 0.1829
Y 0.1822 0.7272 0.6382
Y 0.2727 0.0906 0.4560
Y 0.3647 0.4553 0.2735
Y 0.4550 0.8180 0.0906
Y 0.6371 0.5459 0.7280

The energy above the most stable polymorph in this dataset is 0.0000 eV per atom. The calculation puts the formation energy from the elements at 19 kJ/mol of formula units. The space group is P1, No. 1. As for the density of states at the Fermi level: 15.97 states/eV per cell. Its uncorrected energy is -5.483 eV/atom.

## Tb6Nd12Y (PBE)

Data for an optimized crystal structure of Tb6Nd12Y.

Lattice parameters (Å, degrees): 8.7127 8.7127 8.7127 88.99 88.99 88.99
Fractional positions:
Tb 0.2014 0.7601 0.5980
Tb 0.2399 0.4020 0.7986
Tb 0.4020 0.7986 0.2399
Tb 0.5980 0.2014 0.7601
Tb 0.7601 0.5980 0.2014
Tb 0.7986 0.2399 0.4020
Nd 0.0367 0.9333 0.2804
Nd 0.0667 0.7196 0.9633
Nd 0.1380 0.4827 0.3055
Nd 0.2804 0.0367 0.9333
Nd 0.3055 0.1380 0.4827
Nd 0.4827 0.3055 0.1380
Nd 0.5173 0.6945 0.8620
Nd 0.6945 0.8620 0.5173
Nd 0.7196 0.9633 0.0667
Nd 0.8620 0.5173 0.6945
Nd 0.9333 0.2804 0.0367
Nd 0.9633 0.0667 0.7196
Y 0.5000 0.5000 0.5000

The energy above the most stable polymorph in this dataset is 0.0000 eV per atom. The calculation puts the formation energy from the elements at 244 kJ/mol of formula units. The space group is R-3, No. 148. As for the density of states at the Fermi level: 32.02 states/eV per cell. Its uncorrected energy is -4.681 eV/atom.

## Tb6Nd19Y4 (PBE)

Data for an optimized crystal structure of Tb6Nd19Y4.

Lattice parameters (Å, degrees): 11.0224 11.0224 11.0224 109.47 109.47 109.47
Fractional positions:
Tb 0.1248 0.6248 0.5000
Tb 0.3752 0.5000 0.8752
Tb 0.5000 0.1248 0.6248
Tb 0.5000 0.8752 0.3752
Tb 0.6248 0.5000 0.1248
Tb 0.8752 0.3752 0.5000
Nd 0.0000 0.0000 0.0000
Nd 0.0000 0.2592 0.2592
Nd 0.0000 0.7408 0.7408
Nd 0.0213 0.8015 0.3439
Nd 0.1985 0.2199 0.5424
Nd 0.2199 0.5424 0.1985
Nd 0.2592 0.0000 0.2592
Nd 0.2592 0.2592 0.0000
Nd 0.3225 0.7801 0.9787
Nd 0.3439 0.0213 0.8015
Nd 0.4576 0.6775 0.6561
Nd 0.5424 0.1985 0.2199
Nd 0.6561 0.4576 0.6775
Nd 0.6775 0.6561 0.4576
Nd 0.7408 0.0000 0.7408
Nd 0.7408 0.7408 0.0000
Nd 0.7801 0.9787 0.3225
Nd 0.8015 0.3439 0.0213
Nd 0.9787 0.3225 0.7801
Y 0.0000 0.0000 0.6392
Y 0.0000 0.6392 0.0000
Y 0.3608 0.3608 0.3608
Y 0.6392 0.0000 0.0000

The calculation puts the formation energy from the elements at 1010 kJ/mol of formula units. The space group is I23, No. 197. As for the density of states at the Fermi level: 41.47 states/eV per cell. Its uncorrected energy is -4.612 eV/atom.

## Tb2Nd2Y (PBE)

Data for an optimized crystal structure of Tb2Nd2Y.

Lattice parameters (Å, degrees): 5.9706 5.9706 9.7216 90.00 90.00 90.00
Fractional positions:
Tb 0.0000 0.0000 0.1473
Tb 0.0000 0.0000 0.8527
Tb 0.5000 0.5000 0.3527
Tb 0.5000 0.5000 0.6473
Nd 0.0000 0.5000 0.2500
Nd 0.0000 0.5000 0.7500
Nd 0.5000 0.0000 0.2500
Nd 0.5000 0.0000 0.7500
Y 0.0000 0.0000 0.5000
Y 0.5000 0.5000 0.0000

The energy above the most stable polymorph in this dataset is 0.4475 eV per atom. The calculation puts the formation energy from the elements at 226 kJ/mol of formula units. The space group is I4/mmm, No. 139. As for the density of states at the Fermi level: 12.15 states/eV per cell. Its uncorrected energy is -4.584 eV/atom.

## TbNd5Y2 (PBE)

Data for an optimized crystal structure of TbNd5Y2.

Lattice parameters (Å, degrees): 7.2735 14.5551 5.1471 90.00 90.00 90.00
Fractional positions:
Tb 0.0000 0.0000 0.0000
Tb 0.5000 0.5000 0.0000
Nd 0.0000 0.5000 0.0000
Nd 0.0014 0.2489 0.0000
Nd 0.2481 0.8758 0.5000
Nd 0.2519 0.3758 0.5000
Nd 0.4986 0.7489 0.0000
Nd 0.5000 0.0000 0.0000
Nd 0.5014 0.2511 0.0000
Nd 0.7481 0.6242 0.5000
Nd 0.7519 0.1242 0.5000
Nd 0.9986 0.7511 0.0000
Y 0.2494 0.6240 0.5000
Y 0.2506 0.1240 0.5000
Y 0.7494 0.8760 0.5000
Y 0.7506 0.3760 0.5000

The energy above the most stable polymorph in this dataset is 0.0000 eV per atom. The calculation puts the formation energy from the elements at 11 kJ/mol of formula units. The space group is Pbam, No. 55. As for the density of states at the Fermi level: 24.06 states/eV per cell. Its uncorrected energy is -5.161 eV/atom.

## Tb2Nd4Y (PBE)

Data for an optimized crystal structure of Tb2Nd4Y.

Lattice parameters (Å, degrees): 11.1000 11.1000 12.3720 90.00 90.00 161.27
Fractional positions:
Tb 0.1273 0.8727 0.5112
Tb 0.1273 0.8727 0.9888
Tb 0.8727 0.1273 0.0112
Tb 0.8727 0.1273 0.4888
Nd 0.0658 0.9342 0.2500
Nd 0.2634 0.7366 0.6222
Nd 0.2634 0.7366 0.8778
Nd 0.5000 0.5000 0.0000
Nd 0.5000 0.5000 0.5000
Nd 0.7366 0.2634 0.1222
Nd 0.7366 0.2634 0.3778
Nd 0.9342 0.0658 0.7500
Y 0.3944 0.6056 0.2500
Y 0.6056 0.3944 0.7500

The energy above the most stable polymorph in this dataset is 0.0000 eV per atom. The calculation puts the formation energy from the elements at 124 kJ/mol of formula units. The space group is Cmcm, No. 63. As for the density of states at the Fermi level: 19.13 states/eV per cell. Its uncorrected energy is -4.787 eV/atom.

## TbNdY (PBE)

Data for an optimized crystal structure of TbNdY.

Lattice parameters (Å, degrees): 5.6772 5.6772 3.5556 90.00 90.00 120.00
Fractional positions:
Tb 0.0000 0.0000 0.0000
Nd 0.6667 0.3333 0.0000
Y 0.3333 0.6667 0.5000

The energy above the most stable polymorph in this dataset is 0.0496 eV per atom. The calculation puts the formation energy from the elements at 17 kJ/mol of formula units. The space group is P-6m2, No. 187. As for the density of states at the Fermi level: 5.69 states/eV per cell. Its uncorrected energy is -5.229 eV/atom.

## Tb2Nd4Y3 (PBE)

Data for an optimized crystal structure of Tb2Nd4Y3.

Lattice parameters (Å, degrees): 9.9379 9.9379 6.4031 93.22 93.22 74.20
Fractional positions:
Tb 0.1294 0.3660 0.4012
Tb 0.3660 0.1294 0.9012
Tb 0.6340 0.8706 0.0988
Tb 0.8706 0.6340 0.5988
Nd 0.1835 0.4698 0.9211
Nd 0.1843 0.6907 0.5268
Nd 0.3093 0.8157 0.9732
Nd 0.4698 0.1835 0.4211
Nd 0.5302 0.8165 0.5789
Nd 0.6907 0.1843 0.0268
Nd 0.8157 0.3093 0.4732
Nd 0.8165 0.5302 0.0789
Y 0.0207 0.1780 0.9198
Y 0.1780 0.0207 0.4198
Y 0.4758 0.5242 0.2500
Y 0.5242 0.4758 0.7500
Y 0.8220 0.9793 0.5802
Y 0.9793 0.8220 0.0802

The energy above the most stable polymorph in this dataset is 0.1193 eV per atom. The calculation puts the formation energy from the elements at 117 kJ/mol of formula units. The space group is C2/c, No. 15. As for the density of states at the Fermi level: 27.25 states/eV per cell. Its uncorrected energy is -5.168 eV/atom.

## Tb2Nd3Y6 (PBE)

Data for an optimized crystal structure of Tb2Nd3Y6.

Lattice parameters (Å, degrees): 6.2252 6.2252 11.6654 95.19 95.19 120.13
Fractional positions:
Tb 0.1661 0.8339 0.0000
Tb 0.8339 0.1661 0.0000
Nd 0.0000 0.0000 0.5000
Nd 0.3357 0.6643 0.5000
Nd 0.6643 0.3357 0.5000
Y 0.0859 0.4184 0.7542
Y 0.2492 0.2492 0.2463
Y 0.4184 0.0859 0.7542
Y 0.5816 0.9141 0.2458
Y 0.7508 0.7508 0.7537
Y 0.9141 0.5816 0.2458

The energy above the most stable polymorph in this dataset is 0.1842 eV per atom. The calculation puts the formation energy from the elements at 212 kJ/mol of formula units. The space group is C2/m, No. 12. As for the density of states at the Fermi level: 19.55 states/eV per cell. Its uncorrected energy is -5.468 eV/atom.

## Tb4Nd8Y (PBE)

Data for an optimized crystal structure of Tb4Nd8Y.

Lattice parameters (Å, degrees): 10.5358 10.5358 10.5358 40.72 40.72 40.72
Fractional positions:
Tb 0.0000 0.0000 0.0000
Tb 0.0000 0.5000 0.5000
Tb 0.5000 0.0000 0.5000
Tb 0.5000 0.5000 0.0000
Nd 0.2032 0.7521 0.7521
Nd 0.2124 0.2124 0.2124
Nd 0.2479 0.2479 0.7968
Nd 0.2479 0.7968 0.2479
Nd 0.7521 0.2032 0.7521
Nd 0.7521 0.7521 0.2032
Nd 0.7876 0.7876 0.7876
Nd 0.7968 0.2479 0.2479
Y 0.5000 0.5000 0.5000

The calculation puts the formation energy from the elements at 240 kJ/mol of formula units. The space group is R-3m, No. 166. As for the density of states at the Fermi level: 12.51 states/eV per cell. Its uncorrected energy is -4.664 eV/atom.